This record from the Alexandria database describes an optimized crystal structure of In2PRu. The functional is PBE-GGA.

Unit cell a=6.406 b=6.406 c=6.406 alpha=152.69 beta=138.19 gamma=50.66
Element x y z (fractional)
In (0.951, 0.951, 0.000)
In (0.253, 0.753, 0.500)
P (0.570, 0.570, 0.000)
Ru (0.725, 0.225, 0.500)

Crystal system   orthorhombic
Space group   Imm2, No. 44
ΔH_f (0 K)   -11.5 meV/atom
Total DFT energy (no corrections)   -5.052 eV/atom

***

This record from the Alexandria database describes an optimized crystal structure of InPRu. The functional is PBE-GGA.

Unit cell a=5.148 b=3.717 c=6.442 alpha=90.00 beta=114.08 gamma=90.00
Element x y z (fractional)
In (0.990, 0.000, 0.044)
In (0.990, 0.500, 0.544)
P (0.423, 0.000, 0.525)
P (0.423, 0.500, 0.025)
Ru (0.586, 0.000, 0.245)
Ru (0.586, 0.500, 0.745)

Crystal system   monoclinic
Space group   Cm, No. 8
ΔH_f (0 K)   -159.9 meV/atom
Total DFT energy (no corrections)   -5.968 eV/atom

***

Q: Which formula does entry 2 have?
A: InPRu